Entry 1:
Tc4F PBE-GGA relaxed; formation energy from raw total energies = 0.867 eV/atom; crystal system = cubic
1.0
-2.431 -0.968 -3.192
-2.692 -1.763 2.584
-1.970 3.604 0.407
Tc F
4 1
direct
0.000 0.000 0.000
0.500 0.000 0.500
0.000 0.500 0.500
0.500 0.500 0.000
0.500 0.500 0.500

***

Entry 2:
AgSe PBE-GGA relaxed; formation energy from raw total energies = 0.010 eV/atom; crystal system = cubic
1.0
-0.380 -3.304 -2.048
0.293 -3.456 1.797
-3.170 -2.234 0.467
Se Ag
1 1
direct
0.000 0.000 0.000
0.500 0.500 0.500

***

Entry 3:
RbGaSnB2 PBE-GGA relaxed; crystal system = tetragonal; energy relative to the elements = 2.59 eV per atom
1.0
-0.696 3.154 3.960
-2.720 -4.679 3.248
4.559 -1.348 1.875
Ga B Sn Rb
1 2 1 1
direct
0.500 0.500 0.500
0.000 0.000 0.500
0.500 0.000 0.000
0.000 0.500 0.000
0.000 0.000 0.000

***

Entry 4:
Sr2MoAs PBE-GGA relaxed; crystal system = monoclinic; energy relative to the elements = 0.30 eV per atom
1.0
-1.473 1.379 -3.588
-3.714 -0.303 1.409
-3.355 6.050 3.704
Sr Mo As
2 1 1
direct
0.000 0.982 0.018
0.000 0.518 0.482
0.500 0.750 0.750
0.500 0.250 0.250

***

Entry 5:
Ba3AcNi PBE-GGA relaxed; crystal system = cubic; energy relative to the elements = 0.18 eV per atom
1.0
6.212 0.000 0.000
0.000 6.212 0.000
0.000 0.000 6.212
Ni Ac Ba
1 1 3
direct
0.000 0.000 0.000
0.500 0.500 0.500
0.000 0.500 0.000
0.000 0.000 0.500
0.500 0.000 0.000

***

Entry 6:
BaLi2Ag2 PBE-GGA relaxed; crystal system = tetragonal; energy relative to the elements = -0.11 eV per atom; E above lowest polymorph = 94 meV per atom
1.0
8.267 0.000 0.000
0.000 8.267 0.000
0.000 0.000 3.353
Ba Ag Li
2 4 4
direct
0.000 0.000 0.000
0.500 0.500 0.000
0.167 0.667 0.500
0.667 0.833 0.500
0.833 0.333 0.500
0.333 0.167 0.500
0.384 0.884 0.000
0.884 0.616 0.000
0.616 0.116 0.000
0.116 0.384 0.000

***

Entry 7:
NbZnBr3 PBE-GGA relaxed; formation energy from raw total energies = 0.332 eV/atom; crystal system = cubic; E above lowest polymorph = 542 meV per atom
1.0
5.130 0.000 0.000
0.000 5.130 0.000
0.000 0.000 5.130
Nb Zn Br
1 1 3
direct
0.500 0.500 0.500
0.000 0.000 0.000
0.000 0.500 0.000
0.000 0.000 0.500
0.500 0.000 0.000

***

Entry 8:
CsMg2W PBE-GGA relaxed; crystal system = cubic; energy relative to the elements = 1.45 eV per atom
1.0
0.019 1.012 5.302
-3.511 -2.512 3.240
1.736 -3.762 3.460
Cs Mg W
1 2 1
direct
0.000 0.000 0.000
0.250 0.250 0.250
0.750 0.750 0.750
0.500 0.500 0.500

***

Entry 9:
Lu2CoSn PBE-GGA relaxed; crystal system = trigonal; energy relative to the elements = -0.27 eV per atom; E above lowest polymorph = 167 meV per atom
1.0
3.568 0.000 0.000
1.784 3.090 0.000
1.784 1.030 8.407
Lu Co Sn
2 1 1
direct
0.269 0.269 0.193
0.731 0.731 0.807
0.000 0.000 0.000
0.500 0.500 0.500

***

Entry 10:
NbTePt2 PBE-GGA relaxed; formation energy from raw total energies = 0.137 eV/atom; crystal system = tetragonal
1.0
6.521 0.000 0.000
0.000 6.521 0.000
3.261 3.261 4.714
Nb Te Pt
2 2 4
direct
0.500 0.500 0.000
0.250 0.750 0.500
0.000 0.000 0.000
0.750 0.250 0.500
0.607 0.125 0.250
0.143 0.625 0.250
0.375 0.393 0.750
0.875 0.857 0.750

***

Entry 11:
La4SiSnTe2 PBE-GGA relaxed; formation energy from raw total energies = -1.177 eV/atom; crystal system = monoclinic
1.0
4.542 0.000 0.000
0.000 7.963 -0.187
0.000 2.774 7.414
La Si Sn Te
4 1 1 2
direct
0.000 0.735 0.745
0.000 0.265 0.255
0.500 0.728 0.266
0.500 0.272 0.734
0.000 0.500 0.500
0.500 0.500 0.000
0.000 0.000 0.000
0.500 0.000 0.500

***

Entry 12:
NdTiRu2 PBE-GGA relaxed; crystal system = tetragonal; energy relative to the elements = -0.31 eV per atom
1.0
-2.813 -0.111 1.576
0.376 -3.173 0.447
3.274 1.224 5.932
Ru Nd Ti
2 1 1
direct
0.000 0.000 0.791
0.000 0.000 0.209
0.500 0.500 0.500
0.500 0.500 0.000

***

Number 1: uncorrected energy -39.00 eV per cell, N(E_F) 7.5 states/eV/f.u.. Number 2: uncorrected energy -6.32 eV per cell, N(E_F) 1.3 states/eV/f.u.. Number 3: uncorrected energy -8.41 eV per cell, N(E_F) 5.7 states/eV/f.u.. Number 4: uncorrected energy -17.65 eV per cell, N(E_F) 2.5 states/eV/f.u.. Number 5: uncorrected energy -14.78 eV per cell, N(E_F) 4.9 states/eV/f.u.. Number 6: uncorrected energy -23.97 eV per cell, N(E_F) 2.3 states/eV/f.u.. Number 7: uncorrected energy -14.70 eV per cell, N(E_F) 7.4 states/eV/f.u.. Number 8: uncorrected energy -11.22 eV per cell, N(E_F) 2.8 states/eV/f.u.. Number 9: uncorrected energy -21.22 eV per cell, N(E_F) 2.5 states/eV/f.u.. Number 10: uncorrected energy -49.49 eV per cell, N(E_F) 5.5 states/eV/f.u.. Number 11: uncorrected energy -44.83 eV per cell, N(E_F) 1.9 states/eV/f.u.. Number 12: uncorrected energy -32.43 eV per cell, N(E_F) 2.1 states/eV/f.u..